1.
# Al4InPd2

Al4InPd2 after structural relaxation (PBE, Alexandria). Values from VASP.

Values from the calculation:
DFT formation energy, meV per atom: 370.4
SG: I4/mmm, No. 139

```
&SYSTEM
  ibrav = 0, nat = 7, ntyp = 3
/
ATOMIC_SPECIES
Al 26.98 Al.upf
Pd 106.42 Pd.upf
In 114.82 In.upf
ATOMIC_POSITIONS angstrom
Al 2.506 2.506 3.679
Al 0.000 2.506 0.000
Al 5.013 5.013 2.720
Al 2.506 0.000 0.000
Pd 2.506 2.506 1.308
Pd 5.013 5.013 5.091
In 0.000 0.000 0.000
CELL_PARAMETERS angstrom
5.013 0.000 0.000
0.000 5.013 0.000
2.506 2.506 6.399
```

***

2.
# Si3W

Si3W after structural relaxation (PBE, Alexandria). Values from VASP.

Values from the calculation:
Polymorph energy (0 for the lowest one), eV/atom: 0.175
SG: Pmmn, No. 59
Raw formation energy, eV per atom: 0.170

```
&SYSTEM
  ibrav = 0, nat = 8, ntyp = 2
/
ATOMIC_SPECIES
W 183.84 W.upf
Si 28.09 Si.upf
ATOMIC_POSITIONS angstrom
W 2.246 1.418 2.546
W 0.000 3.592 0.000
Si 0.000 0.838 1.265
Si 2.246 4.172 1.282
Si 2.246 1.990 0.000
Si 2.246 4.172 3.811
Si 0.000 0.838 3.828
Si 0.000 3.019 2.546
CELL_PARAMETERS angstrom
4.491 0.000 0.000
0.000 5.010 0.000
0.000 0.000 5.093
```

***

3.
# PmNdHoLu

PmNdHoLu after structural relaxation (PBE, Alexandria). Values from VASP.

Values from the calculation:
DFT formation energy, meV per atom: 99.5
SG: F-43m, No. 216

```
&SYSTEM
  ibrav = 0, nat = 4, ntyp = 4
/
ATOMIC_SPECIES
Pm 145.00 Pm.upf
Ho 164.93 Ho.upf
Lu 174.97 Lu.upf
Nd 144.24 Nd.upf
ATOMIC_POSITIONS angstrom
Pm 0.000 0.000 0.000
Ho 8.547 4.935 3.489
Lu 2.849 1.645 1.163
Nd 5.698 3.290 2.326
CELL_PARAMETERS angstrom
5.698 0.000 0.000
2.849 4.935 0.000
2.849 1.645 4.653
```

***

4.
# CeEuGa2

CeEuGa2 after structural relaxation (PBE, Alexandria). Values from VASP.

Values from the calculation:
DFT formation energy, meV per atom: -225.8
Polymorph energy (0 for the lowest one), eV/atom: 0.227
SG: R-3m, No. 166

```
&SYSTEM
  ibrav = 0, nat = 4, ntyp = 3
/
ATOMIC_SPECIES
Eu 151.96 Eu.upf
Ce 140.12 Ce.upf
Ga 69.72 Ga.upf
ATOMIC_POSITIONS angstrom
Eu 0.000 0.000 0.000
Ce 3.632 2.097 4.701
Ga 1.816 1.049 2.386
Ga 5.448 3.146 7.016
CELL_PARAMETERS angstrom
3.632 0.000 0.000
1.816 3.146 0.000
1.816 1.049 9.402
```

***

5.
# NaPd4Au5

NaPd4Au5 after structural relaxation (PBE, Alexandria). Values from VASP.

Values from the calculation:
DFT formation energy, meV per atom: -2.9
SG: C2/m, No. 12

```
&SYSTEM
  ibrav = 0, nat = 10, ntyp = 3
/
ATOMIC_SPECIES
Au 196.97 Au.upf
Pd 106.42 Pd.upf
Na 22.99 Na.upf
ATOMIC_POSITIONS angstrom
Au -0.808 -0.394 1.962
Au -0.753 -3.884 3.682
Au -3.091 -0.474 5.193
Au -2.810 -2.248 2.775
Au 1.248 -2.030 2.869
Pd -3.257 0.732 2.721
Pd -5.239 -1.130 3.524
Pd 3.678 -3.148 2.120
Pd 1.695 -5.010 2.923
Na -5.652 1.605 3.971
CELL_PARAMETERS angstrom
-2.064 -3.450 -1.543
5.122 -4.158 2.444
-4.620 3.330 4.743
```

***

6.
# Sb3RhN

Sb3RhN after structural relaxation (PBE, Alexandria). Values from VASP.

Values from the calculation:
Polymorph energy (0 for the lowest one), eV/atom: 0.000
SG: Pm-3m, No. 221
Raw formation energy, eV per atom: 0.602

```
&SYSTEM
  ibrav = 0, nat = 5, ntyp = 3
/
ATOMIC_SPECIES
Rh 102.91 Rh.upf
Sb 121.76 Sb.upf
N 14.01 N.upf
ATOMIC_POSITIONS angstrom
Rh -2.578 -1.455 2.687
Sb -0.137 -2.209 0.655
Sb -0.141 0.663 2.206
Sb -2.300 0.090 -0.175
N 0.000 0.000 0.000
CELL_PARAMETERS angstrom
-4.600 0.181 -0.349
-0.273 -4.418 1.311
-0.283 1.327 4.413
```

***

7.
# Li3MoW2N6

Li3MoW2N6 after structural relaxation (PBE, Alexandria). Values from VASP.

Values from the calculation:
SG: C2/m, No. 12
Raw formation energy, eV per atom: -0.507

```
&SYSTEM
  ibrav = 0, nat = 12, ntyp = 4
/
ATOMIC_SPECIES
N 14.01 N.upf
Li 6.94 Li.upf
W 183.84 W.upf
Mo 95.94 Mo.upf
ATOMIC_POSITIONS angstrom
N -3.900 -0.219 3.097
N -0.921 0.357 1.871
N -3.809 1.137 0.488
N -1.680 -1.102 -0.661
N -4.660 -1.678 0.565
N -1.772 -2.458 1.947
Li -2.041 0.779 3.717
Li -3.540 -2.100 -1.281
Li -2.790 -0.661 1.218
W -0.851 -2.840 0.121
W -0.104 -1.406 2.611
Mo 0.000 0.000 0.000
CELL_PARAMETERS angstrom
-1.597 -4.273 -2.366
0.642 0.027 5.098
-4.626 2.925 -0.297
```

***

8.
# DyTm8Sc6

DyTm8Sc6 after structural relaxation (PBE, Alexandria). Values from VASP.

Values from the calculation:
DFT formation energy, meV per atom: 192.9
Polymorph energy (0 for the lowest one), eV/atom: 0.025
SG: R-3, No. 148

```
&SYSTEM
  ibrav = 0, nat = 15, ntyp = 3
/
ATOMIC_SPECIES
Sc 44.96 Sc.upf
Tm 168.93 Tm.upf
Dy 162.50 Dy.upf
ATOMIC_POSITIONS angstrom
Sc -2.993 -4.692 13.998
Sc -2.807 -3.600 4.125
Sc -2.777 -7.442 17.500
Sc 0.917 -5.446 16.002
Sc 1.103 -4.354 6.129
Sc 0.887 -1.604 2.627
Tm -1.392 -2.547 7.258
Tm -3.614 -6.303 11.360
Tm 1.724 -2.743 8.767
Tm -4.125 -4.030 8.793
Tm -1.203 -3.332 11.014
Tm 2.235 -5.016 11.334
Tm -0.687 -5.714 9.112
Tm -0.498 -6.499 12.868
Dy 0.000 0.000 0.000
CELL_PARAMETERS angstrom
-4.913 -5.522 5.584
4.212 -4.572 6.868
-1.189 1.048 7.674
```

***

9.
# NaPt2

NaPt2 after structural relaxation (PBE, Alexandria). Values from VASP.

Values from the calculation:
DFT formation energy, meV per atom: -386.7
Polymorph energy (0 for the lowest one), eV/atom: 0.000
SG: Fd-3m, No. 227

```
&SYSTEM
  ibrav = 0, nat = 6, ntyp = 2
/
ATOMIC_SPECIES
Pt 195.08 Pt.upf
Na 22.99 Na.upf
ATOMIC_POSITIONS angstrom
Pt 2.680 3.095 2.188
Pt 5.361 3.095 2.188
Pt 4.021 2.321 0.000
Pt 4.021 0.774 2.188
Na 1.340 0.774 0.547
Na 9.381 5.416 3.830
CELL_PARAMETERS angstrom
5.361 0.000 0.000
2.680 4.642 0.000
2.680 1.547 4.377
```

***

10.
# Li2CrSi

Li2CrSi after structural relaxation (PBE, Alexandria). Values from VASP.

Values from the calculation:
SG: Cm, No. 8
Raw formation energy, eV per atom: 0.125

```
&SYSTEM
  ibrav = 0, nat = 4, ntyp = 3
/
ATOMIC_SPECIES
Cr 52.00 Cr.upf
Li 6.94 Li.upf
Si 28.09 Si.upf
ATOMIC_POSITIONS angstrom
Cr 2.513 0.727 1.808
Li 7.785 2.251 4.387
Li 1.329 0.384 4.352
Si 4.813 1.392 2.201
CELL_PARAMETERS angstrom
4.675 0.041 0.319
3.975 2.460 0.319
1.386 0.401 4.717
```

***

11.
# K3Tm2AlS6

K3Tm2AlS6 after structural relaxation (PBE, Alexandria). Values from VASP.

Values from the calculation:
SG: C2/m, No. 12
Raw formation energy, eV per atom: -1.608

```
&SYSTEM
  ibrav = 0, nat = 12, ntyp = 4
/
ATOMIC_SPECIES
S 32.06 S.upf
Tm 168.93 Tm.upf
Al 26.98 Al.upf
K 39.10 K.upf
ATOMIC_POSITIONS angstrom
S 2.802 -3.900 3.472
S -0.473 -0.235 2.466
S -0.574 -4.233 5.659
S -0.226 -6.492 2.840
S -3.501 -2.827 1.834
S -0.125 -2.494 -0.352
Tm -3.183 -0.155 2.232
Tm -2.811 -2.573 -0.785
Al 0.000 0.000 0.000
K 0.019 -5.760 -0.336
K -0.350 -3.364 2.653
K -0.719 -0.967 5.643
CELL_PARAMETERS angstrom
-3.557 2.273 5.260
-2.437 -5.001 -3.813
5.295 -3.999 3.859
```

***

12.
# Ca4Ta3MnN8

Ca4Ta3MnN8 after structural relaxation (PBE, Alexandria). Values from VASP.

Values from the calculation:
SG: R-3m, No. 166
Raw formation energy, eV per atom: -1.089

```
&SYSTEM
  ibrav = 0, nat = 16, ntyp = 4
/
ATOMIC_SPECIES
Ta 180.95 Ta.upf
Ca 40.08 Ca.upf
N 14.01 N.upf
Mn 54.94 Mn.upf
ATOMIC_POSITIONS angstrom
Ta 2.942 0.778 1.330
Ta 2.758 -1.737 -0.635
Ta 2.319 -1.288 -3.770
Ca 0.255 -2.965 1.169
Ca -0.184 -2.515 -1.965
Ca 0.439 -0.449 3.135
Ca 0.000 0.000 0.000
N 1.799 -1.087 1.223
N 4.131 -2.781 0.653
N 4.309 -0.344 2.557
N 1.385 -0.694 -1.924
N 3.717 -2.388 -2.493
N 3.884 0.091 -0.480
N 1.207 -3.130 -3.828
N 1.632 -3.566 -0.791
Mn 2.503 1.227 -1.805
CELL_PARAMETERS angstrom
-0.367 -5.030 -3.931
5.006 2.455 -3.609
0.878 -0.899 6.269
```

***

13.
# Y2CoSnPb

Y2CoSnPb after structural relaxation (PBE, Alexandria). Values from VASP.

Values from the calculation:
DFT formation energy, meV per atom: -349.1
SG: P4/mmm, No. 123

```
&SYSTEM
  ibrav = 0, nat = 5, ntyp = 4
/
ATOMIC_SPECIES
Y 88.91 Y.upf
Co 58.93 Co.upf
Sn 118.71 Sn.upf
Pb 207.20 Pb.upf
ATOMIC_POSITIONS angstrom
Y 2.597 0.000 0.000
Y 0.000 2.597 0.000
Co 0.000 0.000 0.000
Sn 0.000 0.000 2.407
Pb 2.597 2.597 2.407
CELL_PARAMETERS angstrom
5.193 0.000 0.000
0.000 5.193 0.000
0.000 0.000 4.814
```

***

14.
# Na2CuRu

Na2CuRu after structural relaxation (PBE, Alexandria). Values from VASP.

Values from the calculation:
DFT formation energy, meV per atom: 1009.7
Polymorph energy (0 for the lowest one), eV/atom: 0.036
SG: Fm-3m, No. 225

```
&SYSTEM
  ibrav = 0, nat = 4, ntyp = 3
/
ATOMIC_SPECIES
Cu 63.55 Cu.upf
Na 22.99 Na.upf
Ru 101.07 Ru.upf
ATOMIC_POSITIONS angstrom
Cu 0.000 0.000 0.000
Na 4.995 4.995 4.995
Na 1.665 1.665 1.665
Ru 3.330 3.330 3.330
CELL_PARAMETERS angstrom
0.000 3.330 3.330
3.330 0.000 3.330
3.330 3.330 0.000
```

***

15.
# HfGeMo3

HfGeMo3 after structural relaxation (PBE, Alexandria). Values from VASP.

Values from the calculation:
DFT formation energy, meV per atom: 951.7
Polymorph energy (0 for the lowest one), eV/atom: 0.000
SG: Pm-3m, No. 221

```
&SYSTEM
  ibrav = 0, nat = 5, ntyp = 3
/
ATOMIC_SPECIES
Ge 72.64 Ge.upf
Mo 95.94 Mo.upf
Hf 178.49 Hf.upf
ATOMIC_POSITIONS angstrom
Ge 0.000 0.000 0.000
Mo 0.000 0.000 2.310
Mo 0.000 2.310 0.000
Mo 2.310 0.000 0.000
Hf 2.310 2.310 2.310
CELL_PARAMETERS angstrom
4.620 0.000 0.000
0.000 4.620 0.000
0.000 0.000 4.620
```

***

16.
# Pm7DyCd2

Pm7DyCd2 after structural relaxation (PBE, Alexandria). Values from VASP.

Values from the calculation:
DFT formation energy, meV per atom: 382.4
SG: Cmmm, No. 65

```
&SYSTEM
  ibrav = 0, nat = 10, ntyp = 3
/
ATOMIC_SPECIES
Dy 162.50 Dy.upf
Pm 145.00 Pm.upf
Cd 112.41 Cd.upf
ATOMIC_POSITIONS angstrom
Dy 0.000 0.000 0.000
Pm -3.115 -0.916 -1.682
Pm -3.426 -3.970 -0.157
Pm -0.317 -5.029 3.919
Pm -2.690 -1.429 2.023
Pm -4.162 -6.510 -2.337
Pm -1.336 -3.799 -4.953
Pm -3.737 -7.024 1.368
Cd -3.067 -4.404 2.973
Cd -3.785 -3.536 -3.287
CELL_PARAMETERS angstrom
-5.199 0.889 0.720
-1.741 -3.311 -8.481
0.088 -5.518 7.447
```

***

17.
# KC3Se

KC3Se after structural relaxation (PBE, Alexandria). Values from VASP.

Values from the calculation:
Polymorph energy (0 for the lowest one), eV/atom: 0.000
SG: Pm-3m, No. 221
Raw formation energy, eV per atom: 2.730

```
&SYSTEM
  ibrav = 0, nat = 5, ntyp = 3
/
ATOMIC_SPECIES
Se 78.96 Se.upf
C 12.01 C.upf
K 39.10 K.upf
ATOMIC_POSITIONS angstrom
Se 0.000 0.000 0.000
C 0.000 0.000 2.079
C 2.079 0.000 0.000
C 0.000 2.079 0.000
K 2.079 2.079 2.079
CELL_PARAMETERS angstrom
4.157 0.000 0.000
0.000 4.157 0.000
0.000 0.000 4.157
```

***

18.
# CdGa2Se4

CdGa2Se4 after structural relaxation (PBE, Alexandria). Values from VASP.

Values from the calculation:
SG: I-4m2, No. 119
Raw formation energy, eV per atom: -0.319

```
&SYSTEM
  ibrav = 0, nat = 7, ntyp = 3
/
ATOMIC_SPECIES
Se 78.96 Se.upf
Ga 69.72 Ga.upf
Cd 112.41 Cd.upf
ATOMIC_POSITIONS angstrom
Se 0.000 2.792 5.114
Se 0.000 2.792 0.210
Se 0.000 0.000 8.187
Se 0.000 0.000 2.460
Ga 0.000 2.792 2.662
Ga 0.000 0.000 0.000
Cd 2.792 0.000 2.662
CELL_PARAMETERS angstrom
-2.792 2.792 5.324
2.792 -2.792 5.324
2.792 2.792 -5.324
```

***

19.
# K2SbAu

K2SbAu after structural relaxation (PBE, Alexandria). Values from VASP.

Values from the calculation:
SG: I-42d, No. 122
Raw formation energy, eV per atom: -0.273

```
&SYSTEM
  ibrav = 0, nat = 8, ntyp = 3
/
ATOMIC_SPECIES
K 39.10 K.upf
Au 196.97 Au.upf
Sb 121.76 Sb.upf
ATOMIC_POSITIONS angstrom
K 12.101 3.163 0.655
K 9.489 6.878 1.965
K 13.204 9.489 0.655
K 15.815 5.775 1.965
Au 12.652 6.326 1.310
Au 0.000 0.000 0.000
Sb 6.326 6.326 0.000
Sb 6.326 12.652 1.310
CELL_PARAMETERS angstrom
12.652 0.000 0.000
0.000 12.652 0.000
6.326 6.326 2.619
```

***

20.
# Tl2CuAsCl6

Tl2CuAsCl6 after structural relaxation (PBE, Alexandria). Values from VASP.

Values from the calculation:
SG: Fmmm, No. 69
Raw formation energy, eV per atom: -0.741

```
&SYSTEM
  ibrav = 0, nat = 10, ntyp = 4
/
ATOMIC_SPECIES
Cl 35.45 Cl.upf
Tl 204.38 Tl.upf
Cu 63.55 Cu.upf
As 74.92 As.upf
ATOMIC_POSITIONS angstrom
Cl 1.770 5.354 0.000
Cl 3.562 3.562 2.535
Cl 7.122 7.122 2.492
Cl 8.915 8.913 5.027
Cl 1.769 1.770 0.000
Cl 5.352 1.768 0.000
Tl 7.120 3.564 2.512
Tl 3.564 7.120 2.515
Cu 0.000 0.000 0.000
As 3.561 3.561 0.000
CELL_PARAMETERS angstrom
7.118 0.004 0.000
0.004 7.118 0.000
3.562 3.562 5.028
```

***

21.
# La2Pm6PrEr3

La2Pm6PrEr3 after structural relaxation (PBE, Alexandria). Values from VASP.

Values from the calculation:
DFT formation energy, meV per atom: 21.8
SG: C2/m, No. 12

```
&SYSTEM
  ibrav = 0, nat = 12, ntyp = 4
/
ATOMIC_SPECIES
Er 167.26 Er.upf
La 138.91 La.upf
Pm 145.00 Pm.upf
Pr 140.91 Pr.upf
ATOMIC_POSITIONS angstrom
Er -0.809 -6.046 3.952
Er -3.739 -4.279 2.692
Er -6.668 -2.512 1.433
La 0.920 -3.234 -1.403
La -2.008 -1.467 -2.661
Pm -5.017 -4.028 6.018
Pm -2.461 -4.531 -0.634
Pm -7.024 -5.496 3.355
Pm -4.097 -7.262 4.613
Pm -0.453 -3.063 2.029
Pm -3.380 -1.297 0.771
Pr 0.000 0.000 0.000
CELL_PARAMETERS angstrom
-4.937 0.299 -3.920
3.848 -5.000 -0.144
-6.389 -3.858 9.448
```

***

22.
# K2CdIn4Ga3

K2CdIn4Ga3 after structural relaxation (PBE, Alexandria). Values from VASP.

Values from the calculation:
DFT formation energy, meV per atom: -108.3
SG: P-4m2, No. 115

```
&SYSTEM
  ibrav = 0, nat = 10, ntyp = 4
/
ATOMIC_SPECIES
In 114.82 In.upf
Cd 112.41 Cd.upf
Ga 69.72 Ga.upf
K 39.10 K.upf
ATOMIC_POSITIONS angstrom
In 2.404 0.000 7.647
In 0.000 2.404 4.332
In 2.404 2.404 0.000
In 0.000 0.000 0.000
Cd 2.404 2.404 5.990
Ga 0.000 2.404 1.588
Ga 0.000 0.000 5.990
Ga 2.404 0.000 10.391
K 2.404 0.000 2.969
K 0.000 2.404 9.011
CELL_PARAMETERS angstrom
4.808 0.000 0.000
0.000 4.808 0.000
0.000 0.000 11.979
```